No. 1
{"formula": "La3YTi", "functional": "PBE", "state": "optimized geometry", "formation_enthalpy_0k_ev_per_atom": 0.45, "magnetic_moment_mub_per_atom": 0.00, "sg": "Pm-3m", "polymorph_energy_mev_per_atom": 0, "lattice_angstrom": [[5.630, 0.000, 0.000], [0.000, 5.630, 0.000], [0.000, 0.000, 5.630]], "species": ["La", "La", "La", "Y", "Ti"], "frac_coords": [[0.000, 0.000, 0.500], [0.000, 0.500, 0.000], [0.500, 0.000, 0.000], [0.500, 0.500, 0.500], [0.000, 0.000, 0.000]]}

***

No. 2
{"formula": "NaTe2PbAu", "functional": "PBE", "state": "optimized geometry", "magnetic_moment_mub_per_atom": 0.00, "e_form_raw_mev_per_atom": -471.1, "sg": "P2/c", "lattice_angstrom": [[7.938, 0.000, 0.000], [0.000, 5.011, 0.000], [-1.544, 0.000, 8.293]], "species": ["Na", "Na", "Te", "Te", "Te", "Te", "Pb", "Pb", "Au", "Au"], "frac_coords": [[0.000, 0.010, 0.250], [0.000, 0.990, 0.750], [0.284, 0.222, 0.046], [0.284, 0.778, 0.546], [0.716, 0.222, 0.454], [0.716, 0.778, 0.954], [0.500, 0.332, 0.750], [0.500, 0.668, 0.250], [0.000, 0.500, 0.000], [0.000, 0.500, 0.500]]}

***

No. 3
{"formula": "Ir4Ru", "functional": "PBE", "state": "optimized geometry", "formation_enthalpy_0k_ev_per_atom": -0.03, "magnetic_moment_mub_per_atom": 0.00, "sg": "I4/m", "polymorph_energy_mev_per_atom": 0, "lattice_angstrom": [[6.103, 0.000, 0.000], [0.000, 6.103, 0.000], [0.000, 0.000, 3.862]], "species": ["Ir", "Ir", "Ir", "Ir", "Ir", "Ir", "Ir", "Ir", "Ru", "Ru"], "frac_coords": [[0.101, 0.701, 0.000], [0.201, 0.399, 0.500], [0.299, 0.101, 0.000], [0.399, 0.799, 0.500], [0.601, 0.201, 0.500], [0.701, 0.899, 0.000], [0.799, 0.601, 0.500], [0.899, 0.299, 0.000], [0.000, 0.000, 0.500], [0.500, 0.500, 0.000]]}

***

No. 4
{"formula": "NdYCd", "functional": "PBE", "state": "optimized geometry", "formation_enthalpy_0k_ev_per_atom": -0.12, "magnetic_moment_mub_per_atom": 0.06, "sg": "Amm2", "polymorph_energy_mev_per_atom": 80, "lattice_angstrom": [[3.569, 0.000, 0.000], [0.000, 3.521, 0.000], [0.000, 0.000, 28.774]], "species": ["Nd", "Nd", "Nd", "Nd", "Y", "Y", "Y", "Y", "Cd", "Cd", "Cd", "Cd"], "frac_coords": [[0.000, 0.000, 0.000], [0.000, 0.000, 0.154], [0.000, 0.500, 0.500], [0.000, 0.500, 0.654], [0.000, 0.000, 0.304], [0.000, 0.500, 0.804], [0.500, 0.000, 0.891], [0.500, 0.500, 0.391], [0.500, 0.000, 0.576], [0.500, 0.000, 0.732], [0.500, 0.500, 0.076], [0.500, 0.500, 0.232]]}

***

No. 5
{"formula": "Sc3GaF", "functional": "PBE", "state": "optimized geometry", "magnetic_moment_mub_per_atom": 0.00, "e_form_raw_mev_per_atom": -1042.4, "sg": "Pm-3m", "polymorph_energy_mev_per_atom": 0, "lattice_angstrom": [[4.448, 0.000, 0.000], [0.000, 4.448, 0.000], [0.000, 0.000, 4.448]], "species": ["Sc", "Sc", "Sc", "Ga", "F"], "frac_coords": [[0.000, 0.000, 0.500], [0.000, 0.500, 0.000], [0.500, 0.000, 0.000], [0.500, 0.500, 0.500], [0.000, 0.000, 0.000]]}

***

No. 6
{"formula": "Sr2ScPbO6", "functional": "PBE", "state": "optimized geometry", "magnetic_moment_mub_per_atom": 0.11, "e_form_raw_mev_per_atom": -2257.1, "sg": "P2_1/c", "lattice_angstrom": [[5.872, 0.000, 0.000], [0.000, 5.965, 0.000], [-5.862, 0.000, 8.337]], "species": ["Sr", "Sr", "Sr", "Sr", "Sc", "Sc", "Pb", "Pb", "O", "O", "O", "O", "O", "O", "O", "O", "O", "O", "O", "O"], "frac_coords": [[0.240, 0.042, 0.250], [0.240, 0.458, 0.750], [0.760, 0.542, 0.250], [0.760, 0.958, 0.750], [0.000, 0.000, 0.500], [0.000, 0.500, 0.000], [0.500, 0.000, 0.000], [0.500, 0.500, 0.500], [0.158, 0.216, 0.954], [0.158, 0.284, 0.454], [0.243, 0.706, 0.956], [0.243, 0.794, 0.456], [0.330, 0.028, 0.745], [0.330, 0.472, 0.245], [0.670, 0.528, 0.755], [0.670, 0.972, 0.255], [0.757, 0.206, 0.544], [0.757, 0.294, 0.044], [0.842, 0.716, 0.546], [0.842, 0.784, 0.046]]}

***

No. 7
{"formula": "K4InAg4", "functional": "PBE", "state": "optimized geometry", "formation_enthalpy_0k_ev_per_atom": 0.08, "magnetic_moment_mub_per_atom": 0.00, "sg": "P4_2/n", "lattice_angstrom": [[9.871, 0.000, 0.000], [0.000, 9.871, 0.000], [0.000, 0.000, 6.672]], "species": ["K", "K", "K", "K", "K", "K", "K", "K", "In", "In", "Ag", "Ag", "Ag", "Ag", "Ag", "Ag", "Ag", "Ag"], "frac_coords": [[0.066, 0.661, 0.111], [0.161, 0.934, 0.611], [0.339, 0.566, 0.611], [0.434, 0.839, 0.111], [0.566, 0.161, 0.889], [0.661, 0.434, 0.389], [0.839, 0.066, 0.389], [0.934, 0.339, 0.889], [0.250, 0.250, 0.750], [0.750, 0.750, 0.250], [0.106, 0.308, 0.394], [0.192, 0.106, 0.106], [0.308, 0.394, 0.106], [0.394, 0.192, 0.394], [0.606, 0.808, 0.606], [0.692, 0.606, 0.894], [0.808, 0.894, 0.894], [0.894, 0.692, 0.606]]}

***

No. 8
{"formula": "TcRh3C", "functional": "PBE", "state": "optimized geometry", "formation_enthalpy_0k_ev_per_atom": 2.53, "magnetic_moment_mub_per_atom": 0.00, "sg": "Pm-3m", "polymorph_energy_mev_per_atom": 2086, "lattice_angstrom": [[4.640, 0.000, 0.000], [0.000, 4.640, 0.000], [0.000, 0.000, 4.640]], "species": ["Tc", "Rh", "Rh", "Rh", "C"], "frac_coords": [[0.000, 0.000, 0.000], [0.000, 0.000, 0.500], [0.000, 0.500, 0.000], [0.500, 0.000, 0.000], [0.500, 0.500, 0.500]]}